1.
! Tb8Tc2Ni | Alexandria | GGA-PBE | relaxed; values from VASP
! M_tot: 0.000 μB per cell
! E_form: -0.034 eV per atom
&SYSTEM
  ibrav = 0, nat = 11, ntyp = 3
/
ATOMIC_SPECIES
Tb 158.93 Tb.upf
Tc 98.00 Tc.upf
Ni 58.69 Ni.upf
CELL_PARAMETERS angstrom
4.172 -6.394 0.000
4.172 6.394 0.000
-2.266 0.000 5.542
ATOMIC_POSITIONS crystal
Tb 0.000 0.000 0.000
Tb 0.142 0.549 0.177
Tb 0.266 0.998 0.581
Tb 0.434 0.690 0.793
Tb 0.549 0.142 0.177
Tb 0.690 0.434 0.793
Tb 0.721 0.721 0.393
Tb 0.998 0.266 0.581
Tc 0.057 0.673 0.727
Tc 0.673 0.057 0.727
Ni 0.367 0.367 0.021

---

2.
! Sm3Dy6Er2Pu | Alexandria | GGA-PBE | relaxed; values from VASP
! M_tot: 6.537 μB per cell
! E_form: 0.043 eV per atom
&SYSTEM
  ibrav = 0, nat = 12, ntyp = 4
/
ATOMIC_SPECIES
Sm 150.36 Sm.upf
Dy 162.50 Dy.upf
Er 167.26 Er.upf
Pu 244.00 Pu.upf
CELL_PARAMETERS angstrom
3.071 -5.320 0.000
3.071 5.320 0.000
-2.054 0.000 11.538
ATOMIC_POSITIONS crystal
Sm 0.000 0.000 0.000
Sm 0.333 0.667 0.000
Sm 0.667 0.333 0.000
Dy 0.089 0.418 0.255
Dy 0.252 0.252 0.745
Dy 0.418 0.089 0.255
Dy 0.582 0.911 0.745
Dy 0.748 0.748 0.255
Dy 0.911 0.582 0.745
Er 0.167 0.833 0.500
Er 0.833 0.167 0.500
Pu 0.500 0.500 0.500

---

3.
! NaPm2PaSe4 | Alexandria | GGA-PBE | relaxed; values from VASP
! M_tot: 1.174 μB per cell
! Formation energy from raw total energies: -12.6 eV/f.u.
&SYSTEM
  ibrav = 0, nat = 8, ntyp = 4
/
ATOMIC_SPECIES
Na 22.99 Na.upf
Pm 145.00 Pm.upf
Pa 231.04 Pa.upf
Se 78.96 Se.upf
CELL_PARAMETERS angstrom
7.178 0.000 0.000
0.000 4.114 0.000
-2.345 0.000 6.901
ATOMIC_POSITIONS crystal
Na 0.000 0.000 0.000
Pm 0.500 0.000 0.500
Pm 0.500 0.500 0.000
Pa 0.000 0.500 0.500
Se 0.242 0.000 0.749
Se 0.244 0.500 0.251
Se 0.756 0.500 0.749
Se 0.758 0.000 0.251

---

4.
! AcH6Pd2Pt | Alexandria | GGA-PBE | relaxed; values from VASP
! M_tot: 0.000 μB per cell
! Electronic total energy: -4.410 eV/atom
&SYSTEM
  ibrav = 0, nat = 10, ntyp = 4
/
ATOMIC_SPECIES
Ac 227.00 Ac.upf
H 1.01 H.upf
Pd 106.42 Pd.upf
Pt 195.08 Pt.upf
CELL_PARAMETERS angstrom
5.023 0.000 0.000
2.494 4.373 0.000
2.503 1.450 4.940
ATOMIC_POSITIONS crystal
Ac 0.000 0.000 0.000
H 0.125 0.559 0.755
H 0.441 0.442 0.242
H 0.441 0.873 0.245
H 0.559 0.127 0.755
H 0.559 0.558 0.758
H 0.875 0.441 0.245
Pd 0.213 0.211 0.362
Pd 0.787 0.789 0.638
Pt 0.500 0.500 0.500